1.
## Ac2AlGaGe (PBE-GGA)

Data for crystalline Ac2AlGaGe at its relaxed geometry.

Fermi-level density of states	5.51	states/eV per cell
V	29.83	A^3/atom
energy of formation	-2.6	eV/f.u.
total magnetization	0.00	μB per formula unit
electronic total energy	-4.448	eV per atom

CIF file:
```
data_Ac2AlGaGe
_chemical_formula_sum 'Ac4 Al2 Ga2 Ge2'
_cell_length_a 8.093
_cell_length_b 4.530
_cell_length_c 8.138
_cell_angle_alpha 90.00
_cell_angle_beta 90.09
_cell_angle_gamma 90.00
_symmetry_space_group_name_H-M 'P 1 21/m 1'
_symmetry_Int_Tables_number 11
_symmetry_space_group_name_Hall '-P 2yb'
loop_
_atom_site_label
_atom_site_fract_x
_atom_site_fract_y
_atom_site_fract_z
_atom_site_occupancy
Ac1 0.228 0.250 0.010 1
Ac2 0.229 0.250 0.490 1
Al1 0.414 0.750 0.751 1
Ga1 0.422 0.750 0.249 1
Ge1 0.102 0.750 0.750 1
```


2.
## Mg2TlInH (PBE-GGA)

Data for crystalline Mg2TlInH at its relaxed geometry.

energy above the lowest structure with this stoichiometry	0.0	meV/atom
Fermi-level density of states	1.72	states/eV per cell
V	19.95	A^3/atom
total magnetization	0.00	μB per formula unit
electronic total energy	-2.247	eV per atom

CIF file:
```
data_Mg2TlInH
_chemical_formula_sum 'Mg2 Tl1 In1 H1'
_cell_length_a 4.585
_cell_length_b 4.585
_cell_length_c 4.746
_cell_angle_alpha 90.00
_cell_angle_beta 90.00
_cell_angle_gamma 90.00
_symmetry_space_group_name_H-M 'P 4/m m m'
_symmetry_Int_Tables_number 123
_symmetry_space_group_name_Hall '-P 4 2'
loop_
_atom_site_label
_atom_site_fract_x
_atom_site_fract_y
_atom_site_fract_z
_atom_site_occupancy
Mg1 0.000 0.500 0.000 1
Tl1 0.000 0.000 0.500 1
In1 0.500 0.500 0.500 1
H1 0.500 0.500 0.000 1
```


3.
## PuAl2InO8 (PBE-GGA)

Data for crystalline PuAl2InO8 at its relaxed geometry.

E_form (uncorrected)	-2.283	eV/atom
Fermi-level density of states	1.16	states/eV per cell
V	11.42	A^3/atom
total magnetization	0.97	μB per formula unit
electronic total energy	-7.635	eV per atom

CIF file:
```
data_PuAl2InO8
_chemical_formula_sum 'Pu2 Al4 In2 O16'
_cell_length_a 6.570
_cell_length_b 6.656
_cell_length_c 6.266
_cell_angle_alpha 90.00
_cell_angle_beta 90.00
_cell_angle_gamma 90.00
_symmetry_space_group_name_H-M 'C m m m'
_symmetry_Int_Tables_number 65
_symmetry_space_group_name_Hall '-C 2 2'
loop_
_atom_site_label
_atom_site_fract_x
_atom_site_fract_y
_atom_site_fract_z
_atom_site_occupancy
Pu1 0.000 0.000 0.000 1
Al1 0.000 0.500 0.269 1
In1 0.000 0.000 0.500 1
O1 0.000 0.214 0.231 1
O2 0.182 0.500 0.500 1
O3 0.192 0.500 0.000 1
```


4.
## Rb3TeO6 (PBE-GGA)

Data for crystalline Rb3TeO6 at its relaxed geometry.

E_form (uncorrected)	-1.008	eV/atom
V	21.59	A^3/atom
total magnetization	3.05	μB per formula unit
electronic total energy	-4.587	eV per atom

CIF file:
```
data_Rb3TeO6
_chemical_formula_sum 'Rb6 Te2 O12'
_cell_length_a 6.7523
_cell_length_b 6.7523
_cell_length_c 10.9356
_cell_angle_alpha 90.00
_cell_angle_beta 90.00
_cell_angle_gamma 120.00
_symmetry_space_group_name_H-M 'P 63 2 2'
_symmetry_Int_Tables_number 182
_symmetry_space_group_name_Hall 'P 6c 2c'
loop_
_atom_site_label
_atom_site_fract_x
_atom_site_fract_y
_atom_site_fract_z
_atom_site_occupancy
Rb1 0.0000 0.0000 0.0000 1
Rb2 0.3333 0.6667 0.0878 1
Te1 0.3333 0.6667 0.7500 1
O1 0.1149 0.4207 0.6476 1
```


5.
## DyNbRe4 (PBE-GGA)

Data for crystalline DyNbRe4 at its relaxed geometry.

Fermi-level density of states	31.77	states/eV per cell
V	17.66	A^3/atom
energy of formation	-0.4	eV/f.u.
total magnetization	0.00	μB per formula unit
electronic total energy	-10.818	eV per atom

CIF file:
```
data_DyNbRe4
_chemical_formula_sum 'Dy4 Nb4 Re16'
_cell_length_a 7.512
_cell_length_b 7.512
_cell_length_c 7.512
_cell_angle_alpha 90.00
_cell_angle_beta 90.00
_cell_angle_gamma 90.00
_symmetry_space_group_name_H-M 'F -4 3 m'
_symmetry_Int_Tables_number 216
_symmetry_space_group_name_Hall 'F -4 2 3'
loop_
_atom_site_label
_atom_site_fract_x
_atom_site_fract_y
_atom_site_fract_z
_atom_site_occupancy
Dy1 0.000 0.000 0.000 1
Nb1 0.250 0.250 0.750 1
Re1 0.125 0.125 0.375 1
```


6.
## Cs2NpGaI6 (PBE-GGA)

Data for crystalline Cs2NpGaI6 at its relaxed geometry.

E_form (uncorrected)	-1.045	eV/atom
Fermi-level density of states	11.35	states/eV per cell
V	50.29	A^3/atom
total magnetization	4.00	μB per formula unit
electronic total energy	-3.743	eV per atom

CIF file:
```
data_Cs2NpGaI6
_chemical_formula_sum 'Cs4 Np2 Ga2 I12'
_cell_length_a 8.883
_cell_length_b 12.630
_cell_length_c 8.965
_cell_angle_alpha 90.00
_cell_angle_beta 90.00
_cell_angle_gamma 90.00
_symmetry_space_group_name_H-M 'P m m n'
_symmetry_Int_Tables_number 59
loop_
_symmetry_equiv_pos_as_xyz
'x,y,z'
'-x,-y,-z'
'-x+1/2,-y+1/2,z'
'x+1/2,y+1/2,-z'
'x+1/2,-y,-z'
'-x+1/2,y,z'
'-x,y+1/2,-z'
'x,-y+1/2,z'
loop_
_atom_site_label
_atom_site_fract_x
_atom_site_fract_y
_atom_site_fract_z
_atom_site_occupancy
Cs1 0.250 0.006 0.247 1
Np1 0.250 0.250 0.752 1
Ga1 0.250 0.750 0.747 1
I1 0.005 0.250 0.506 1
I2 0.006 0.250 0.000 1
I3 0.250 0.005 0.753 1
```


7.
## PaNiP (PBE-GGA)

Data for crystalline PaNiP at its relaxed geometry.

Fermi-level density of states	4.05	states/eV per cell
V	18.01	A^3/atom
energy of formation	-1.5	eV/f.u.
total magnetization	0.00	μB per formula unit
electronic total energy	-7.401	eV per atom

CIF file:
```
data_PaNiP
_chemical_formula_sum 'Pa2 Ni2 P2'
_cell_length_a 3.654
_cell_length_b 3.654
_cell_length_c 8.096
_cell_angle_alpha 90.00
_cell_angle_beta 90.00
_cell_angle_gamma 90.00
_symmetry_space_group_name_H-M 'I 4 m m'
_symmetry_Int_Tables_number 107
_symmetry_space_group_name_Hall 'I 4 -2'
loop_
_atom_site_label
_atom_site_fract_x
_atom_site_fract_y
_atom_site_fract_z
_atom_site_occupancy
Pa1 0.000 0.000 0.000 1
Ni1 0.000 0.000 0.343 1
P1 0.000 0.000 0.651 1
```


Question: The lowest electronic total energy belongs to which entry?
Answer: DyNbRe4


Question: The lowest electronic total energy belongs to which entry?
Answer: DyNbRe4


Please write out number 4 again, unchanged.
## Rb3TeO6 (PBE-GGA)

Data for crystalline Rb3TeO6 at its relaxed geometry.

E_form (uncorrected)	-1.008	eV/atom
V	21.59	A^3/atom
total magnetization	3.05	μB per formula unit
electronic total energy	-4.587	eV per atom

CIF file:
```
data_Rb3TeO6
_chemical_formula_sum 'Rb6 Te2 O12'
_cell_length_a 6.7523
_cell_length_b 6.7523
_cell_length_c 10.9356
_cell_angle_alpha 90.00
_cell_angle_beta 90.00
_cell_angle_gamma 120.00
_symmetry_space_group_name_H-M 'P 63 2 2'
_symmetry_Int_Tables_number 182
_symmetry_space_group_name_Hall 'P 6c 2c'
loop_
_atom_site_label
_atom_site_fract_x
_atom_site_fract_y
_atom_site_fract_z
_atom_site_occupancy
Rb1 0.0000 0.0000 0.0000 1
Rb2 0.3333 0.6667 0.0878 1
Te1 0.3333 0.6667 0.7500 1
O1 0.1149 0.4207 0.6476 1
```


Question: Which formula does entry 4 have?
Answer: Rb3TeO6